1.
The following is a DFT calculation (PBE-GGA) of a relaxed structure of GdPaTcPt.

- ΔH_f (0 K) (eV per atom) = -0.47
- symmetry = F-43m (216)
- final energy (eV per formula unit) = -41.87

a b c (Å): 4.918 4.918 4.918
angles (deg): 60.00 60.00 60.00
Fractional coordinates of all 4 atoms:
Gd: 0.000 0.000 0.000
Pa: 0.500 0.500 0.500
Tc: 0.750 0.750 0.750
Pt: 0.250 0.250 0.250

2.
The following is a DFT calculation (PBE-GGA) of a relaxed structure of LaP5.

- ΔH_f (0 K) (eV per atom) = -0.20
- symmetry = Cmmm (65)
- final energy (eV per formula unit) = -33.16

a b c (Å): 6.225 6.225 4.435
angles (deg): 90.00 90.00 139.36
Fractional coordinates of all 6 atoms:
La: 0.000 0.000 0.000
P: 0.208 0.792 0.500
P: 0.283 0.717 0.000
P: 0.500 0.500 0.500
P: 0.717 0.283 0.000
P: 0.792 0.208 0.500

3.
The following is a DFT calculation (PBE-GGA) of a relaxed structure of TlCd6In2.

- ΔH_f (0 K) (eV per atom) = 0.06
- E above lowest polymorph (meV/atom) = 0.0
- symmetry = C2/m (12)
- final energy (eV per formula unit) = -12.82

a b c (Å): 9.015 9.015 3.126
angles (deg): 97.32 97.32 67.03
Fractional coordinates of all 9 atoms:
Tl: 0.000 0.000 0.000
Cd: 0.051 0.633 0.861
Cd: 0.345 0.655 0.500
Cd: 0.367 0.949 0.139
Cd: 0.633 0.051 0.861
Cd: 0.655 0.345 0.500
Cd: 0.949 0.367 0.139
In: 0.310 0.310 0.331
In: 0.690 0.690 0.669

4.
The following is a DFT calculation (PBE-GGA) of a relaxed structure of YTaHg.

- ΔH_f (0 K) (eV per atom) = 1.19
- E above lowest polymorph (meV/atom) = 1037.0
- symmetry = F-43m (216)
- final energy (eV per formula unit) = -15.04

a b c (Å): 4.919 4.919 4.919
angles (deg): 60.00 60.00 60.00
Fractional coordinates of all 3 atoms:
Y: 0.000 0.000 0.000
Ta: 0.750 0.750 0.750
Hg: 0.250 0.250 0.250

5.
The following is a DFT calculation (PBE-GGA) of a relaxed structure of TbPu2Co9.

- ΔH_f (0 K) (eV per atom) = -0.15
- symmetry = R-3m (166)
- final energy (eV per formula unit) = -99.08

a b c (Å): 8.633 8.633 8.633
angles (deg): 33.09 33.09 33.09
Fractional coordinates of all 12 atoms:
Tb: 0.000 0.000 0.000
Pu: 0.140 0.140 0.140
Pu: 0.860 0.860 0.860
Co: 0.081 0.582 0.582
Co: 0.333 0.333 0.333
Co: 0.418 0.418 0.919
Co: 0.418 0.919 0.418
Co: 0.500 0.500 0.500
Co: 0.582 0.081 0.582
Co: 0.582 0.582 0.081
Co: 0.667 0.667 0.667
Co: 0.919 0.418 0.418

6.
The following is a DFT calculation (PBE-GGA) of a relaxed structure of LaAsPd2.

- ΔH_f (0 K) (eV per atom) = -0.75
- symmetry = Pmmm (47)
- final energy (eV per formula unit) = -22.97

a b c (Å): 4.013 4.248 5.351
angles (deg): 90.00 90.00 90.00
Fractional coordinates of all 4 atoms:
La: 0.000 0.000 0.000
As: 0.500 0.000 0.500
Pd: 0.500 0.500 0.248
Pd: 0.500 0.500 0.752

7.
The following is a DFT calculation (PBE-GGA) of a relaxed structure of Cs2TaCdCl6.

- symmetry = Fm-3m (225)
- final energy (eV per formula unit) = -39.24

a b c (Å): 8.146 8.146 8.146
angles (deg): 60.00 60.00 60.00
Fractional coordinates of all 10 atoms:
Cs: 0.250 0.250 0.250
Cs: 0.750 0.750 0.750
Ta: 0.000 0.000 0.000
Cd: 0.500 0.500 0.500
Cl: 0.211 0.211 0.789
Cl: 0.211 0.789 0.211
Cl: 0.211 0.789 0.789
Cl: 0.789 0.211 0.211
Cl: 0.789 0.211 0.789
Cl: 0.789 0.789 0.211

8.
The following is a DFT calculation (PBE-GGA) of a relaxed structure of BaPt.

- ΔH_f (0 K) (eV per atom) = -0.62
- symmetry = Fm-3m (225)
- final energy (eV per formula unit) = -9.21

a b c (Å): 4.573 4.573 4.573
angles (deg): 60.00 60.00 60.00
Fractional coordinates of all 2 atoms:
Ba: 0.000 0.000 0.000
Pt: 0.500 0.500 0.500

9.
The following is a DFT calculation (PBE-GGA) of a relaxed structure of Ac2Ga3Sn2.

- ΔH_f (0 K) (eV per atom) = -0.34
- symmetry = I2_13 (199)
- final energy (eV per formula unit) = -27.65

a b c (Å): 8.081 8.081 8.081
angles (deg): 109.47 109.47 109.47
Fractional coordinates of all 14 atoms:
Ac: 0.000 0.992 0.500
Ac: 0.500 0.000 0.992
Ac: 0.508 0.508 0.508
Ac: 0.992 0.500 0.000
Ga: 0.020 0.250 0.270
Ga: 0.230 0.480 0.750
Ga: 0.250 0.270 0.020
Ga: 0.270 0.020 0.250
Ga: 0.480 0.750 0.230
Ga: 0.750 0.230 0.480
Sn: 0.000 0.588 0.500
Sn: 0.500 0.000 0.588
Sn: 0.588 0.500 0.000
Sn: 0.912 0.912 0.912

10.
The following is a DFT calculation (PBE-GGA) of a relaxed structure of CoGeMo3.

- ΔH_f (0 K) (eV per atom) = 1.14
- E above lowest polymorph (meV/atom) = 0.0
- symmetry = Pm-3m (221)
- final energy (eV per formula unit) = -38.53

a b c (Å): 4.449 4.449 4.449
angles (deg): 90.00 90.00 90.00
Fractional coordinates of all 5 atoms:
Co: 0.000 0.000 0.000
Ge: 0.500 0.500 0.500
Mo: 0.000 0.000 0.500
Mo: 0.000 0.500 0.000
Mo: 0.500 0.000 0.000

11.
The following is a DFT calculation (PBE-GGA) of a relaxed structure of Ca2HN.

- symmetry = P-3m1 (164)
- final energy (eV per formula unit) = -18.60

a b c (Å): 3.512 3.512 6.162
angles (deg): 90.00 90.00 120.00
Fractional coordinates of all 4 atoms:
Ca: 0.333 0.667 0.208
Ca: 0.667 0.333 0.792
H: 0.000 0.000 0.500
N: 0.000 0.000 0.000

12.
The following is a DFT calculation (PBE-GGA) of a relaxed structure of MnCo2Ru.

- ΔH_f (0 K) (eV per atom) = 0.13
- E above lowest polymorph (meV/atom) = 75.0
- symmetry = P4mm (99)
- final energy (eV per formula unit) = -32.14

a b c (Å): 2.834 2.834 6.070
angles (deg): 90.00 90.00 90.00
Fractional coordinates of all 4 atoms:
Mn: 0.000 0.000 0.000
Co: 0.000 0.000 0.531
Co: 0.500 0.500 0.761
Ru: 0.500 0.500 0.254

13.
The following is a DFT calculation (PBE-GGA) of a relaxed structure of Be2CO.

- E above lowest polymorph (meV/atom) = 0.0
- symmetry = I-42d (122)
- final energy (eV per formula unit) = -23.85

a b c (Å): 4.671 4.671 4.671
angles (deg): 126.57 126.57 78.95
Fractional coordinates of all 8 atoms:
Be: 0.082 0.625 0.957
Be: 0.375 0.332 0.457
Be: 0.668 0.125 0.043
Be: 0.875 0.918 0.543
C: 0.250 0.750 0.500
C: 0.500 0.500 0.000
O: 0.000 0.000 0.000
O: 0.750 0.250 0.500

14.
The following is a DFT calculation (PBE-GGA) of a relaxed structure of NbGeMo.

- ΔH_f (0 K) (eV per atom) = -0.10
- symmetry = I4/mmm (139)
- final energy (eV per formula unit) = -25.82

a b c (Å): 10.216 10.216 10.216
angles (deg): 161.47 161.47 26.32
Fractional coordinates of all 6 atoms:
Nb: 0.133 0.133 0.000
Nb: 0.867 0.867 0.000
Ge: 0.436 0.436 0.000
Ge: 0.564 0.564 0.000
Mo: 0.288 0.288 0.000
Mo: 0.712 0.712 0.000

15.
The following is a DFT calculation (PBE-GGA) of a relaxed structure of Ac2PuMoN6.

- symmetry = P2_1/c (14)
- final energy (eV per formula unit) = -92.42

a b c (Å): 5.964 5.869 10.101
angles (deg): 90.00 125.29 90.00
Fractional coordinates of all 20 atoms:
Ac: 0.244 0.005 0.248
Ac: 0.244 0.495 0.748
Ac: 0.756 0.505 0.252
Ac: 0.756 0.995 0.752
Pu: 0.500 0.000 0.000
Pu: 0.500 0.500 0.500
Mo: 0.000 0.000 0.500
Mo: 0.000 0.500 0.000
N: 0.202 0.250 0.469
N: 0.202 0.250 0.969
N: 0.214 0.735 0.968
N: 0.214 0.765 0.468
N: 0.315 0.001 0.756
N: 0.315 0.499 0.256
N: 0.685 0.501 0.744
N: 0.685 0.999 0.244
N: 0.786 0.235 0.532
N: 0.786 0.265 0.032
N: 0.798 0.750 0.031
N: 0.798 0.750 0.531

16.
The following is a DFT calculation (PBE-GGA) of a relaxed structure of Na5IO4F2.

- symmetry = Amm2 (38)
- final energy (eV per formula unit) = -51.54

a b c (Å): 6.427 6.109 6.109
angles (deg): 124.25 90.00 90.00
Fractional coordinates of all 12 atoms:
Na: 0.000 0.000 0.000
Na: 0.245 0.275 0.672
Na: 0.245 0.672 0.275
Na: 0.755 0.275 0.672
Na: 0.755 0.672 0.275
I: 0.500 0.125 0.125
O: 0.255 0.304 0.304
O: 0.500 0.337 0.976
O: 0.500 0.976 0.337
O: 0.745 0.304 0.304
F: 0.000 0.605 0.961
F: 0.000 0.961 0.605

17.
The following is a DFT calculation (PBE-GGA) of a relaxed structure of SrCa2.

- ΔH_f (0 K) (eV per atom) = 0.06
- E above lowest polymorph (meV/atom) = 43.2
- symmetry = P6/mmm (191)
- final energy (eV per formula unit) = -5.51

a b c (Å): 6.480 6.480 3.871
angles (deg): 90.00 90.00 120.00
Fractional coordinates of all 3 atoms:
Sr: 0.000 0.000 0.000
Ca: 0.333 0.667 0.500
Ca: 0.667 0.333 0.500

18.
The following is a DFT calculation (PBE-GGA) of a relaxed structure of HgAs2I2.

- E above lowest polymorph (meV/atom) = 213.4
- symmetry = P4/mbm (127)
- final energy (eV per formula unit) = -10.41

a b c (Å): 9.432 9.432 3.658
angles (deg): 90.00 90.00 90.00
Fractional coordinates of all 10 atoms:
Hg: 0.000 0.000 0.000
Hg: 0.500 0.500 0.000
As: 0.092 0.408 0.500
As: 0.408 0.908 0.500
As: 0.592 0.092 0.500
As: 0.908 0.592 0.500
I: 0.167 0.667 0.000
I: 0.333 0.167 0.000
I: 0.667 0.833 0.000
I: 0.833 0.333 0.000

19.
The following is a DFT calculation (PBE-GGA) of a relaxed structure of BaBeCdO3.

- symmetry = C2/m (12)
- final energy (eV per formula unit) = -32.45

a b c (Å): 5.997 5.997 7.000
angles (deg): 105.12 105.12 52.92
Fractional coordinates of all 12 atoms:
Ba: 0.170 0.170 0.106
Ba: 0.830 0.830 0.894
Be: 0.448 0.448 0.612
Be: 0.552 0.552 0.388
Cd: 0.148 0.148 0.577
Cd: 0.852 0.852 0.423
O: 0.005 0.005 0.274
O: 0.351 0.351 0.746
O: 0.397 0.397 0.370
O: 0.603 0.603 0.630
O: 0.649 0.649 0.254
O: 0.995 0.995 0.726

20.
The following is a DFT calculation (PBE-GGA) of a relaxed structure of CoRe2AgTe.

- symmetry = P4/mmm (123)
- final energy (eV per formula unit) = -27.47

a b c (Å): 4.882 4.882 4.557
angles (deg): 90.00 90.00 90.00
Fractional coordinates of all 5 atoms:
Co: 0.000 0.000 0.000
Re: 0.000 0.500 0.500
Re: 0.500 0.000 0.500
Ag: 0.500 0.500 0.000
Te: 0.000 0.000 0.500